# BiMoO2 (GGA-PBEsol, optimized geometry)
# Total moment, μB/cell: 2.8
# Formation energy (no corrections), meV per atom: -971
# Calculated volume, Å³ per cell: 63.5
# Symmetry: No. 166
data_BiMoO2
_chemical_formula_sum 'Bi1 Mo1 O2'
_cell_length_a 3.3330
_cell_length_b 3.3330
_cell_length_c 6.8732
_cell_angle_alpha 75.97
_cell_angle_beta 75.97
_cell_angle_gamma 60.00
_symmetry_space_group_name_H-M 'P 1'
_symmetry_Int_Tables_number 1
_symmetry_space_group_name_Hall 'P 1'
loop_
_atom_site_label
_atom_site_type_symbol
_atom_site_fract_x
_atom_site_fract_y
_atom_site_fract_z
O1 O 0.8779 0.8779 0.3663
O2 O 0.1221 0.1221 0.6337
Mo1 Mo 0.5000 0.5000 0.5000
Bi1 Bi 0.0000 0.0000 0.0000